Entry from Alexandria via LeMat-Bulk: Tb4Co2Cu after structural relaxation (GGA-PBE).

Computed properties:
Space-group type: C2, No. 5
Distance to the lowest polymorph of the same formula in meV per atom: 43.1
Final energy in eV per atom: -5.373
Density of states at the Fermi level in states/eV per cell: 10.512
Density in kg/m³: 8792
E_form in eV per atom: -0.11

abc: 7.3745 7.3745 8.5763
angles: 125.55 125.55 69.32
Positions (direct):
Tb1 0.0624 0.0624 0.2471
Tb2 0.3349 0.5417 0.6234
Tb3 0.4583 0.6651 0.3766
Tb4 0.4618 0.1687 0.8771
Tb5 0.5658 0.0649 0.2528
Tb6 0.8313 0.5382 0.1229
Tb7 0.9351 0.4342 0.7472
Tb8 0.9376 0.9376 0.7529
Co1 0.1982 0.3015 0.1228
Co2 0.5693 0.1725 0.6207
Co3 0.6985 0.8018 0.8772
Co4 0.8275 0.4307 0.3793
Cu1 0.0738 0.9262 0.5000
Cu2 0.3214 0.6786 0.0000